# YTl | the Alexandria database | PBE | relaxed
# Calculated total energy in eV/atom: -3.7890
# Fermi-level density of states in states/eV per cell: 9.72
data_YTl
_cell_length_a 8.054
_cell_length_b 8.054
_cell_length_c 8.054
_cell_angle_alpha 109.47
_cell_angle_beta 109.47
_cell_angle_gamma 109.47
_symmetry_space_group_name_H-M 'P 1'
_symmetry_Int_Tables_number 1
loop_
_symmetry_equiv_pos_as_xyz
'x,y,z'
loop_
_atom_site_label
_atom_site_type_symbol
_atom_site_fract_x
_atom_site_fract_y
_atom_site_fract_z
Y1 Y 0.000 0.000 0.615
Y2 Y 0.000 0.615 0.000
Y3 Y 0.385 0.385 0.385
Y4 Y 0.615 0.000 0.000
Tl1 Tl 0.000 0.000 0.251
Tl2 Tl 0.000 0.251 0.000
Tl3 Tl 0.251 0.000 0.000
Tl4 Tl 0.749 0.749 0.749

---

# ReBi | the Alexandria database | PBE | relaxed
# Fermi-level density of states in states/eV per cell: 8.51
# Polymorph energy (0 for the lowest one) in meV/atom: 372
data_ReBi
_cell_length_a 11.201
_cell_length_b 11.201
_cell_length_c 3.654
_cell_angle_alpha 90.00
_cell_angle_beta 90.00
_cell_angle_gamma 120.00
_symmetry_space_group_name_H-M 'P 1'
_symmetry_Int_Tables_number 1
loop_
_symmetry_equiv_pos_as_xyz
'x,y,z'
loop_
_atom_site_label
_atom_site_type_symbol
_atom_site_fract_x
_atom_site_fract_y
_atom_site_fract_z
Re1 Re 0.024 0.445 0.250
Re2 Re 0.421 0.976 0.250
Re3 Re 0.445 0.421 0.750
Re4 Re 0.555 0.579 0.250
Re5 Re 0.579 0.024 0.750
Re6 Re 0.976 0.555 0.750
Bi1 Bi 0.157 0.759 0.250
Bi2 Bi 0.241 0.397 0.250
Bi3 Bi 0.397 0.157 0.750
Bi4 Bi 0.603 0.843 0.250
Bi5 Bi 0.759 0.603 0.750
Bi6 Bi 0.843 0.241 0.750

---

# Fe2AsPt | the Alexandria database | PBE | relaxed
# Calculated total energy in eV/atom: -6.8549
# Fermi-level density of states in states/eV per cell: 2.16
data_Fe2AsPt
_cell_length_a 4.311
_cell_length_b 4.311
_cell_length_c 4.311
_cell_angle_alpha 60.00
_cell_angle_beta 60.00
_cell_angle_gamma 60.00
_symmetry_space_group_name_H-M 'P 1'
_symmetry_Int_Tables_number 1
loop_
_symmetry_equiv_pos_as_xyz
'x,y,z'
loop_
_atom_site_label
_atom_site_type_symbol
_atom_site_fract_x
_atom_site_fract_y
_atom_site_fract_z
Fe1 Fe 0.000 0.000 0.000
Fe2 Fe 0.250 0.250 0.250
As1 As 0.750 0.750 0.750
Pt1 Pt 0.500 0.500 0.500

---

# Tb2ErCd6 | the Alexandria database | PBE | relaxed
# Calculated total energy in eV/atom: -2.4604
# Fermi-level density of states in states/eV per cell: 7.49
data_Tb2ErCd6
_cell_length_a 8.622
_cell_length_b 8.622
_cell_length_c 3.421
_cell_angle_alpha 90.00
_cell_angle_beta 90.00
_cell_angle_gamma 120.00
_symmetry_space_group_name_H-M 'P 1'
_symmetry_Int_Tables_number 1
loop_
_symmetry_equiv_pos_as_xyz
'x,y,z'
loop_
_atom_site_label
_atom_site_type_symbol
_atom_site_fract_x
_atom_site_fract_y
_atom_site_fract_z
Tb1 Tb 0.333 0.667 0.000
Tb2 Tb 0.667 0.333 0.000
Er1 Er 0.000 0.000 0.000
Cd1 Cd 0.000 0.332 0.500
Cd2 Cd 0.000 0.668 0.500
Cd3 Cd 0.332 0.000 0.500
Cd4 Cd 0.332 0.332 0.500
Cd5 Cd 0.668 0.000 0.500
Cd6 Cd 0.668 0.668 0.500

---

# CuSb | the Alexandria database | PBE | relaxed
# Formation energy (no corrections) in eV per atom: 0.209
# Fermi-level density of states in states/eV per cell: 1.90
data_CuSb
_cell_length_a 5.876
_cell_length_b 5.876
_cell_length_c 5.876
_cell_angle_alpha 44.58
_cell_angle_beta 44.58
_cell_angle_gamma 44.58
_symmetry_space_group_name_H-M 'P 1'
_symmetry_Int_Tables_number 1
loop_
_symmetry_equiv_pos_as_xyz
'x,y,z'
loop_
_atom_site_label
_atom_site_type_symbol
_atom_site_fract_x
_atom_site_fract_y
_atom_site_fract_z
Cu1 Cu 0.077 0.077 0.077
Cu2 Cu 0.923 0.923 0.923
Sb1 Sb 0.246 0.246 0.246
Sb2 Sb 0.754 0.754 0.754

---

# SrMg2Bi | the Alexandria database | PBE | relaxed
# Calculated total energy in eV/atom: -2.3196
# Fermi-level density of states in states/eV per cell: 11.09
data_SrMg2Bi
_cell_length_a 7.247
_cell_length_b 7.247
_cell_length_c 7.247
_cell_angle_alpha 101.81
_cell_angle_beta 101.81
_cell_angle_gamma 126.20
_symmetry_space_group_name_H-M 'P 1'
_symmetry_Int_Tables_number 1
loop_
_symmetry_equiv_pos_as_xyz
'x,y,z'
loop_
_atom_site_label
_atom_site_type_symbol
_atom_site_fract_x
_atom_site_fract_y
_atom_site_fract_z
Sr1 Sr 0.000 0.000 0.000
Sr2 Sr 0.750 0.250 0.500
Mg1 Mg 0.181 0.625 0.056
Mg2 Mg 0.375 0.431 0.556
Mg3 Mg 0.569 0.125 0.944
Mg4 Mg 0.875 0.819 0.444
Bi1 Bi 0.250 0.750 0.500
Bi2 Bi 0.500 0.500 0.000

---

# Ba2URuO8 | the Alexandria database | PBE | relaxed
# Formation energy (no corrections) in eV per atom: -2.330
# Fermi-level density of states in states/eV per cell: 5.51
data_Ba2URuO8
_cell_length_a 5.887
_cell_length_b 6.455
_cell_length_c 6.564
_cell_angle_alpha 76.26
_cell_angle_beta 67.94
_cell_angle_gamma 76.73
_symmetry_space_group_name_H-M 'P 1'
_symmetry_Int_Tables_number 1
loop_
_symmetry_equiv_pos_as_xyz
'x,y,z'
loop_
_atom_site_label
_atom_site_type_symbol
_atom_site_fract_x
_atom_site_fract_y
_atom_site_fract_z
Ba1 Ba 0.120 0.176 0.163
Ba2 Ba 0.880 0.824 0.837
U1 U 0.500 0.500 0.500
Ru1 Ru 0.500 0.000 0.500
O1 O 0.267 0.481 0.801
O2 O 0.291 0.827 0.438
O3 O 0.298 0.978 0.797
O4 O 0.309 0.289 0.430
O5 O 0.691 0.711 0.570
O6 O 0.702 0.022 0.203
O7 O 0.709 0.173 0.562
O8 O 0.733 0.519 0.199

---

# Nd2Cu4HgGe3 | the Alexandria database | PBE | relaxed
# Calculated total energy in eV/atom: -4.4349
# Fermi-level density of states in states/eV per cell: 2.93
data_Nd2Cu4HgGe3
_cell_length_a 4.224
_cell_length_b 4.224
_cell_length_c 10.429
_cell_angle_alpha 90.00
_cell_angle_beta 90.00
_cell_angle_gamma 90.00
_symmetry_space_group_name_H-M 'P 1'
_symmetry_Int_Tables_number 1
loop_
_symmetry_equiv_pos_as_xyz
'x,y,z'
loop_
_atom_site_label
_atom_site_type_symbol
_atom_site_fract_x
_atom_site_fract_y
_atom_site_fract_z
Nd1 Nd 0.000 0.500 0.234
Nd2 Nd 0.500 0.000 0.766
Cu1 Cu 0.000 0.000 0.000
Cu2 Cu 0.000 0.500 0.646
Cu3 Cu 0.500 0.000 0.354
Cu4 Cu 0.500 0.500 0.000
Hg1 Hg 0.000 0.000 0.500
Ge1 Ge 0.000 0.500 0.873
Ge2 Ge 0.500 0.000 0.127
Ge3 Ge 0.500 0.500 0.500

---

# U2PO | the Alexandria database | PBE | relaxed
# Formation energy (no corrections) in eV per atom: -1.044
# Fermi-level density of states in states/eV per cell: 8.75
# Polymorph energy (0 for the lowest one) in meV/atom: 556
data_U2PO
_cell_length_a 3.239
_cell_length_b 3.239
_cell_length_c 6.455
_cell_angle_alpha 90.00
_cell_angle_beta 90.00
_cell_angle_gamma 90.00
_symmetry_space_group_name_H-M 'P 1'
_symmetry_Int_Tables_number 1
loop_
_symmetry_equiv_pos_as_xyz
'x,y,z'
loop_
_atom_site_label
_atom_site_type_symbol
_atom_site_fract_x
_atom_site_fract_y
_atom_site_fract_z
U1 U 0.000 0.000 0.237
U2 U 0.000 0.000 0.763
P1 P 0.500 0.500 0.500
O1 O 0.500 0.500 0.000

---

# Pm4DyHo6 | the Alexandria database | PBE | relaxed
# Fermi-level density of states in states/eV per cell: 13.51
# Polymorph energy (0 for the lowest one) in meV/atom: 150
data_Pm4DyHo6
_cell_length_a 8.498
_cell_length_b 8.498
_cell_length_c 8.498
_cell_angle_alpha 126.47
_cell_angle_beta 126.47
_cell_angle_gamma 79.12
_symmetry_space_group_name_H-M 'P 1'
_symmetry_Int_Tables_number 1
loop_
_symmetry_equiv_pos_as_xyz
'x,y,z'
loop_
_atom_site_label
_atom_site_type_symbol
_atom_site_fract_x
_atom_site_fract_y
_atom_site_fract_z
Pm1 Pm 0.249 0.249 0.651
Pm2 Pm 0.402 0.751 0.000
Pm3 Pm 0.598 0.598 0.349
Pm4 Pm 0.751 0.402 0.000
Dy1 Dy 0.000 0.000 0.000
Ho1 Ho 0.000 0.500 0.500
Ho2 Ho 0.058 0.575 0.000
Ho3 Ho 0.425 0.425 0.482
Ho4 Ho 0.500 0.000 0.500
Ho5 Ho 0.575 0.058 0.000
Ho6 Ho 0.942 0.942 0.518

---

# SbCSCl2F9 | the Alexandria database | PBE | relaxed
# Formation energy (no corrections) in eV per atom: -1.631
# Fermi-level density of states in states/eV per cell: 0.00
data_SbCSCl2F9
_cell_length_a 8.093
_cell_length_b 9.812
_cell_length_c 12.770
_cell_angle_alpha 90.00
_cell_angle_beta 99.79
_cell_angle_gamma 90.00
_symmetry_space_group_name_H-M 'P 1'
_symmetry_Int_Tables_number 1
loop_
_symmetry_equiv_pos_as_xyz
'x,y,z'
loop_
_atom_site_label
_atom_site_type_symbol
_atom_site_fract_x
_atom_site_fract_y
_atom_site_fract_z
Sb1 Sb 0.199 0.249 0.065
Sb2 Sb 0.199 0.251 0.565
Sb3 Sb 0.801 0.749 0.435
Sb4 Sb 0.801 0.751 0.935
C1 C 0.380 0.671 0.628
C2 C 0.380 0.829 0.128
C3 C 0.620 0.171 0.872
C4 C 0.620 0.329 0.372
S1 S 0.174 0.675 0.699
S2 S 0.174 0.825 0.199
S3 S 0.826 0.175 0.801
S4 S 0.826 0.325 0.301
Cl1 Cl 0.180 0.631 0.243
Cl2 Cl 0.180 0.869 0.743
Cl3 Cl 0.256 0.572 0.831
Cl4 Cl 0.256 0.928 0.331
Cl5 Cl 0.744 0.072 0.669
Cl6 Cl 0.744 0.428 0.169
Cl7 Cl 0.820 0.131 0.257
Cl8 Cl 0.820 0.369 0.757
F1 F 0.026 0.714 0.008
F2 F 0.026 0.786 0.508
F3 F 0.122 0.077 0.112
F4 F 0.122 0.423 0.612
F5 F 0.141 0.167 0.690
F6 F 0.141 0.333 0.190
F7 F 0.247 0.165 0.938
F8 F 0.247 0.335 0.438
F9 F 0.275 0.078 0.520
F10 F 0.275 0.422 0.020
F11 F 0.326 0.624 0.531
F12 F 0.326 0.876 0.031
F13 F 0.420 0.210 0.138
F14 F 0.420 0.290 0.638
F15 F 0.439 0.703 0.126
F16 F 0.439 0.797 0.626
F17 F 0.491 0.588 0.683
F18 F 0.491 0.912 0.183
F19 F 0.509 0.088 0.817
F20 F 0.509 0.412 0.317
F21 F 0.561 0.203 0.374
F22 F 0.561 0.297 0.874
F23 F 0.580 0.710 0.362
F24 F 0.580 0.790 0.862
F25 F 0.674 0.124 0.969
F26 F 0.674 0.376 0.469
F27 F 0.725 0.578 0.980
F28 F 0.725 0.922 0.480
F29 F 0.753 0.665 0.562
F30 F 0.753 0.835 0.062
F31 F 0.859 0.667 0.810
F32 F 0.859 0.833 0.310
F33 F 0.878 0.577 0.388
F34 F 0.878 0.923 0.888
F35 F 0.974 0.214 0.492
F36 F 0.974 0.286 0.992

---

- Which value of Fermi-level density of states does entry 5 give?
  1.90 states/eV per cell

---

- Fermi-level density of states of number 4 (Tb2ErCd6)?
  7.49 states/eV per cell

---

- The lowest Fermi-level density of states belongs to which entry?
  SbCSCl2F9